# PBE Zr4VSn2, relaxed
# space group: I4/mmm
# total DFT energy (no corrections): -7.168 eV per atom
data_Zr4VSn2
_cell_length_a 4.650
_cell_length_b 4.650
_cell_length_c 8.495
_cell_angle_alpha 74.11
_cell_angle_beta 74.11
_cell_angle_gamma 90.00
_space_group_name_H-M_alt 'P 1'
_space_group_IT_number 1
_space_group_name_Hall 'P 1'
loop_
_atom_site_label
_atom_site_type_symbol
_atom_site_fract_x
_atom_site_fract_y
_atom_site_fract_z
_atom_site_occupancy
Sn1 Sn 0.361 0.361 0.278 1
Sn2 Sn 0.639 0.639 0.722 1
Zr1 Zr 0.175 0.175 0.650 1
Zr2 Zr 0.825 0.825 0.350 1
Zr3 Zr 0.000 0.500 0.000 1
Zr4 Zr 0.500 0.000 0.000 1
V1 V 0.000 0.000 0.000 1

# PBE ZrV2Sn, relaxed
# space group: I-42d
# total DFT energy (no corrections): -7.071 eV per atom
data_ZrV2Sn
_cell_length_a 7.430
_cell_length_b 7.430
_cell_length_c 5.962
_cell_angle_alpha 51.46
_cell_angle_beta 51.46
_cell_angle_gamma 90.00
_space_group_name_H-M_alt 'P 1'
_space_group_IT_number 1
_space_group_name_Hall 'P 1'
loop_
_atom_site_label
_atom_site_type_symbol
_atom_site_fract_x
_atom_site_fract_y
_atom_site_fract_z
_atom_site_occupancy
Sn1 Sn 0.000 0.000 0.000 1
Sn2 Sn 0.750 0.250 0.500 1
Zr1 Zr 0.500 0.500 0.000 1
Zr2 Zr 0.250 0.750 0.500 1
V1 V 0.635 0.125 0.250 1
V2 V 0.115 0.625 0.250 1
V3 V 0.375 0.365 0.750 1
V4 V 0.875 0.885 0.750 1

# PBE Zr2VSn, relaxed
# space group: R-3m
# total DFT energy (no corrections): -7.513 eV per atom
data_Zr2VSn
_cell_length_a 3.247
_cell_length_b 3.247
_cell_length_c 9.506
_cell_angle_alpha 80.17
_cell_angle_beta 80.17
_cell_angle_gamma 60.00
_space_group_name_H-M_alt 'P 1'
_space_group_IT_number 1
_space_group_name_Hall 'P 1'
loop_
_atom_site_label
_atom_site_type_symbol
_atom_site_fract_x
_atom_site_fract_y
_atom_site_fract_z
_atom_site_occupancy
Sn1 Sn 0.500 0.500 0.500 1
Zr1 Zr 0.257 0.257 0.228 1
Zr2 Zr 0.743 0.743 0.772 1
V1 V 0.000 0.000 0.000 1

# PBE Zr2VSn, relaxed
# space group: I-42d
# total DFT energy (no corrections): -7.234 eV per atom
data_Zr2VSn
_cell_length_a 7.709
_cell_length_b 7.709
_cell_length_c 6.176
_cell_angle_alpha 51.39
_cell_angle_beta 51.39
_cell_angle_gamma 90.00
_space_group_name_H-M_alt 'P 1'
_space_group_IT_number 1
_space_group_name_Hall 'P 1'
loop_
_atom_site_label
_atom_site_type_symbol
_atom_site_fract_x
_atom_site_fract_y
_atom_site_fract_z
_atom_site_occupancy
Sn1 Sn 0.000 0.000 0.000 1
Sn2 Sn 0.750 0.250 0.500 1
Zr1 Zr 0.601 0.125 0.250 1
Zr2 Zr 0.149 0.625 0.250 1
Zr3 Zr 0.375 0.399 0.750 1
Zr4 Zr 0.875 0.851 0.750 1
V1 V 0.500 0.500 0.000 1
V2 V 0.250 0.750 0.500 1

# PBE ZrV2Sn, relaxed
# space group: P4/mmm
# total DFT energy (no corrections): -7.726 eV per atom
data_ZrV2Sn
_cell_length_a 3.632
_cell_length_b 4.391
_cell_length_c 4.391
_cell_angle_alpha 90.00
_cell_angle_beta 90.00
_cell_angle_gamma 90.00
_space_group_name_H-M_alt 'P 1'
_space_group_IT_number 1
_space_group_name_Hall 'P 1'
loop_
_atom_site_label
_atom_site_type_symbol
_atom_site_fract_x
_atom_site_fract_y
_atom_site_fract_z
_atom_site_occupancy
Sn1 Sn 0.500 0.000 0.000 1
Zr1 Zr 0.500 0.500 0.500 1
V1 V 0.000 0.000 0.500 1
V2 V 0.000 0.500 0.000 1

# PBE ZrVSn3, relaxed
# space group: Pm-3m
# energy above the most stable polymorph in this dataset: 0 meV/atom
data_ZrVSn3
_cell_length_a 5.054
_cell_length_b 5.054
_cell_length_c 5.054
_cell_angle_alpha 90.00
_cell_angle_beta 90.00
_cell_angle_gamma 90.00
_space_group_name_H-M_alt 'P 1'
_space_group_IT_number 1
_space_group_name_Hall 'P 1'
loop_
_atom_site_label
_atom_site_type_symbol
_atom_site_fract_x
_atom_site_fract_y
_atom_site_fract_z
_atom_site_occupancy
Sn1 Sn 0.000 0.500 0.000 1
Sn2 Sn 0.000 0.000 0.500 1
Sn3 Sn 0.500 0.000 0.000 1
Zr1 Zr 0.500 0.500 0.500 1
V1 V 0.000 0.000 0.000 1

# PBE Zr2VSn, relaxed
# space group: P4/mmm
# total DFT energy (no corrections): -7.742 eV per atom
data_Zr2VSn
_cell_length_a 3.572
_cell_length_b 3.572
_cell_length_c 6.351
_cell_angle_alpha 90.00
_cell_angle_beta 90.00
_cell_angle_gamma 90.00
_space_group_name_H-M_alt 'P 1'
_space_group_IT_number 1
_space_group_name_Hall 'P 1'
loop_
_atom_site_label
_atom_site_type_symbol
_atom_site_fract_x
_atom_site_fract_y
_atom_site_fract_z
_atom_site_occupancy
Sn1 Sn 0.500 0.500 0.500 1
Zr1 Zr 0.000 0.000 0.765 1
Zr2 Zr 0.000 0.000 0.235 1
V1 V 0.500 0.500 0.000 1

# PBE ZrVSn, relaxed
# space group: I4mm
# total DFT energy (no corrections): -7.366 eV per atom
data_ZrVSn
_cell_length_a 3.541
_cell_length_b 3.541
_cell_length_c 5.309
_cell_angle_alpha 109.48
_cell_angle_beta 109.48
_cell_angle_gamma 90.00
_space_group_name_H-M_alt 'P 1'
_space_group_IT_number 1
_space_group_name_Hall 'P 1'
loop_
_atom_site_label
_atom_site_type_symbol
_atom_site_fract_x
_atom_site_fract_y
_atom_site_fract_z
_atom_site_occupancy
Sn1 Sn 0.607 0.607 0.214 1
Zr1 Zr 0.290 0.290 0.580 1
V1 V 0.953 0.953 0.905 1

# PBE Zr3VSn, relaxed
# space group: Pm-3m
# energy above the most stable polymorph in this dataset: 798 meV/atom
data_Zr3VSn
_cell_length_a 5.281
_cell_length_b 5.281
_cell_length_c 5.281
_cell_angle_alpha 90.00
_cell_angle_beta 90.00
_cell_angle_gamma 90.00
_space_group_name_H-M_alt 'P 1'
_space_group_IT_number 1
_space_group_name_Hall 'P 1'
loop_
_atom_site_label
_atom_site_type_symbol
_atom_site_fract_x
_atom_site_fract_y
_atom_site_fract_z
_atom_site_occupancy
Sn1 Sn 0.000 0.000 0.000 1
Zr1 Zr 0.000 0.500 0.000 1
Zr2 Zr 0.000 0.000 0.500 1
Zr3 Zr 0.500 0.000 0.000 1
V1 V 0.500 0.500 0.500 1

# PBE Zr2VSn, relaxed
# space group: P4/mmm
# total DFT energy (no corrections): -7.734 eV per atom
data_Zr2VSn
_cell_length_a 3.976
_cell_length_b 4.520
_cell_length_c 4.520
_cell_angle_alpha 90.00
_cell_angle_beta 90.00
_cell_angle_gamma 90.00
_space_group_name_H-M_alt 'P 1'
_space_group_IT_number 1
_space_group_name_Hall 'P 1'
loop_
_atom_site_label
_atom_site_type_symbol
_atom_site_fract_x
_atom_site_fract_y
_atom_site_fract_z
_atom_site_occupancy
Sn1 Sn 0.500 0.000 0.000 1
Zr1 Zr 0.000 0.000 0.500 1
Zr2 Zr 0.000 0.500 0.000 1
V1 V 0.500 0.500 0.500 1

# PBE ZrVSn, relaxed
# space group: P3m1
# total DFT energy (no corrections): -7.210 eV per atom
data_ZrVSn
_cell_length_a 3.273
_cell_length_b 4.673
_cell_length_c 4.673
_cell_angle_alpha 120.00
_cell_angle_beta 90.00
_cell_angle_gamma 90.00
_space_group_name_H-M_alt 'P 1'
_space_group_IT_number 1
_space_group_name_Hall 'P 1'
loop_
_atom_site_label
_atom_site_type_symbol
_atom_site_fract_x
_atom_site_fract_y
_atom_site_fract_z
_atom_site_occupancy
Sn1 Sn 0.143 0.000 0.000 1
Zr1 Zr 0.654 0.667 0.333 1
V1 V 0.203 0.333 0.667 1

# PBE SnW, relaxed
# space group: I4/m
# energy above the most stable polymorph in this dataset: 526 meV/atom
data_SnW
_cell_length_a 11.447
_cell_length_b 11.447
_cell_length_c 3.421
_cell_angle_alpha 90.00
_cell_angle_beta 90.00
_cell_angle_gamma 90.00
_space_group_name_H-M_alt 'P 1'
_space_group_IT_number 1
_space_group_name_Hall 'P 1'
loop_
_atom_site_label
_atom_site_type_symbol
_atom_site_fract_x
_atom_site_fract_y
_atom_site_fract_z
_atom_site_occupancy
Sn1 Sn 0.457 0.706 0.000 1
Sn2 Sn 0.543 0.294 0.000 1
Sn3 Sn 0.294 0.457 0.000 1
Sn4 Sn 0.706 0.543 0.000 1
Sn5 Sn 0.957 0.206 0.500 1
Sn6 Sn 0.043 0.794 0.500 1
Sn7 Sn 0.794 0.957 0.500 1
Sn8 Sn 0.206 0.043 0.500 1
W1 W 0.317 0.211 0.000 1
W2 W 0.683 0.789 0.000 1
W3 W 0.789 0.317 0.000 1
W4 W 0.211 0.683 0.000 1
W5 W 0.817 0.711 0.500 1
W6 W 0.183 0.289 0.500 1
W7 W 0.289 0.817 0.500 1
W8 W 0.711 0.183 0.500 1

For the records above, the corresponding Fermi-level density of states values read 0.86, 1.58, 0.82, 1.07, 1.26, 0.92, 1.14, 0.48, 1.74, 0.84, 1.23, 0.75 states/eV/atom.